Density functional theory data (PBE) for BaCaNdEu after structural relaxation.

a = 6.283 Å, b = 6.283 Å, c = 6.283 Å
α = 60.00°, β = 60.00°, γ = 60.00°
Positions (direct):
1 Ba 0.250 0.250 0.250
2 Ca 0.500 0.500 0.500
3 Eu 0.000 0.000 0.000
4 Nd 0.750 0.750 0.750

Results
* energy: -4.609 eV/atom
* M_tot: 1.9112 μB/atom
* ΔE_f: 0.133 eV per atom